Entry from the Alexandria database: crystalline RbSc2MoSe at its relaxed geometry (PBE). Values from VASP.

Calculated values
Calculated volume (Å³/cell): 133.63
Formation energy from raw total energies (meV per atom): 475
Crystal system: tetragonal

Structure (Quantum ESPRESSO input):
```
&SYSTEM
  ibrav = 0, nat = 5, ntyp = 4
/
ATOMIC_SPECIES
Sc 44.96 Sc.upf
Mo 95.94 Mo.upf
Se 78.96 Se.upf
Rb 85.47 Rb.upf
CELL_PARAMETERS angstrom
-1.378 3.727 3.505
0.178 -3.224 3.498
5.112 1.144 0.794
ATOMIC_POSITIONS crystal
Sc 0.000 0.000 0.500
Sc 0.500 0.000 0.000
Mo 0.000 0.500 0.000
Se 0.000 0.000 0.000
Rb 0.500 0.500 0.500
```

***

Entry from the Alexandria database: crystalline Tb6AgPt5 at its relaxed geometry (PBE). Values from VASP.

Calculated values
Calculated volume (Å³/cell): 263.46
ΔE_f (eV per atom): -1.063
Crystal system: orthorhombic

Structure (Quantum ESPRESSO input):
```
&SYSTEM
  ibrav = 0, nat = 12, ntyp = 3
/
ATOMIC_SPECIES
Tb 158.93 Tb.upf
Pt 195.08 Pt.upf
Ag 107.87 Ag.upf
CELL_PARAMETERS angstrom
4.771 0.004 -1.468
-0.772 6.537 -2.491
0.047 -0.491 8.638
ATOMIC_POSITIONS crystal
Tb 0.170 0.424 0.340
Tb 0.170 0.915 0.340
Tb 0.500 0.259 0.000
Tb 0.500 0.741 0.000
Tb 0.830 0.085 0.660
Tb 0.830 0.576 0.660
Pt 0.343 0.843 0.685
Pt 0.671 0.671 0.342
Pt 0.000 0.500 0.000
Pt 0.329 0.329 0.658
Pt 0.657 0.157 0.315
Ag 0.000 0.000 0.000
```

***

Entry from the Alexandria database: crystalline Ca3Si4Pd2 at its relaxed geometry (PBE). Values from VASP.

Calculated values
Calculated volume (Å³/cell): 180.22
Formation energy from raw total energies (meV per atom): -636
Crystal system: monoclinic

Structure (Quantum ESPRESSO input):
```
&SYSTEM
  ibrav = 0, nat = 9, ntyp = 3
/
ATOMIC_SPECIES
Ca 40.08 Ca.upf
Si 28.09 Si.upf
Pd 106.42 Pd.upf
CELL_PARAMETERS angstrom
-3.356 0.785 2.457
0.132 -5.406 -1.738
4.938 0.024 6.736
ATOMIC_POSITIONS crystal
Ca 0.622 0.244 0.697
Ca 0.000 0.000 0.000
Ca 0.378 0.756 0.303
Si 0.723 0.446 0.067
Si 0.277 0.554 0.933
Si 0.902 0.803 0.571
Si 0.098 0.197 0.429
Pd 0.674 0.348 0.338
Pd 0.326 0.652 0.662
```

***

Entry from the Alexandria database: crystalline TbNd7Y3 at its relaxed geometry (PBE). Values from VASP.

Calculated values
Calculated volume (Å³/cell): 387.94
ΔE_f (eV per atom): 0.224
E above lowest polymorph (meV/atom): 43.2
Crystal system: monoclinic

Structure (Quantum ESPRESSO input):
```
&SYSTEM
  ibrav = 0, nat = 11, ntyp = 3
/
ATOMIC_SPECIES
Tb 158.93 Tb.upf
Nd 144.24 Nd.upf
Y 88.91 Y.upf
CELL_PARAMETERS angstrom
5.928 -0.192 -0.246
-2.667 8.114 1.117
-2.667 -0.883 8.142
ATOMIC_POSITIONS crystal
Tb 0.500 0.500 0.500
Nd 0.213 0.211 0.211
Nd 0.306 0.016 0.596
Nd 0.694 0.404 0.984
Nd 0.306 0.596 0.016
Nd 0.000 0.500 0.500
Nd 0.694 0.984 0.404
Nd 0.787 0.789 0.789
Y 0.000 0.797 0.203
Y 0.500 0.000 0.000
Y 0.000 0.203 0.797
```

***

Entry from the Alexandria database: crystalline La2Pr6NdY3 at its relaxed geometry (PBE). Values from VASP.

Calculated values
Calculated volume (Å³/cell): 423.34
ΔE_f (eV per atom): 0.013
Crystal system: monoclinic

Structure (Quantum ESPRESSO input):
```
&SYSTEM
  ibrav = 0, nat = 12, ntyp = 4
/
ATOMIC_SPECIES
La 138.91 La.upf
Pr 140.91 Pr.upf
Nd 144.24 Nd.upf
Y 88.91 Y.upf
CELL_PARAMETERS angstrom
6.394 -0.003 0.003
-3.198 5.537 0.003
-1.071 -1.854 11.959
ATOMIC_POSITIONS crystal
La 0.333 0.667 0.000
La 0.667 0.333 0.000
Pr 0.915 0.582 0.745
Pr 0.752 0.752 0.255
Pr 0.085 0.418 0.255
Pr 0.582 0.915 0.745
Pr 0.248 0.248 0.745
Pr 0.418 0.085 0.255
Nd 0.000 0.000 0.000
Y 0.167 0.833 0.500
Y 0.833 0.167 0.500
Y 0.500 0.500 0.500
```

***

Entry from the Alexandria database: crystalline CoPd2Pt8 at its relaxed geometry (PBE). Values from VASP.

Calculated values
Calculated volume (Å³/cell): 167.67
ΔE_f (eV per atom): -0.051
E above lowest polymorph (meV/atom): 0.0
Crystal system: monoclinic

Structure (Quantum ESPRESSO input):
```
&SYSTEM
  ibrav = 0, nat = 11, ntyp = 3
/
ATOMIC_SPECIES
Co 58.93 Co.upf
Pd 106.42 Pd.upf
Pt 195.08 Pt.upf
CELL_PARAMETERS angstrom
-1.008 3.182 2.056
-3.359 2.055 -4.828
-3.995 -5.516 2.840
ATOMIC_POSITIONS crystal
Co 0.500 0.000 0.000
Pd 0.225 0.634 0.450
Pd 0.775 0.366 0.550
Pt 0.589 0.442 0.178
Pt 0.321 0.090 0.641
Pt 0.133 0.173 0.265
Pt 0.044 0.730 0.089
Pt 0.867 0.827 0.735
Pt 0.679 0.910 0.359
Pt 0.411 0.558 0.822
Pt 0.956 0.270 0.911
```

***

Entry from the Alexandria database: crystalline MnTlCd2 at its relaxed geometry (PBE). Values from VASP.

Calculated values
Calculated volume (Å³/cell): 89.38
ΔE_f (eV per atom): 0.252
E above lowest polymorph (meV/atom): 38.8
Crystal system: trigonal

Structure (Quantum ESPRESSO input):
```
&SYSTEM
  ibrav = 0, nat = 4, ntyp = 3
/
ATOMIC_SPECIES
Cd 112.41 Cd.upf
Mn 54.94 Mn.upf
Tl 204.38 Tl.upf
CELL_PARAMETERS angstrom
-7.025 2.046 6.894
-4.823 0.639 8.798
-4.586 3.788 8.105
ATOMIC_POSITIONS crystal
Cd 0.991 0.991 0.991
Cd 0.509 0.509 0.509
Mn 0.250 0.250 0.250
Tl 0.750 0.750 0.750
```

***

Entry from the Alexandria database: crystalline ScGa2Cu at its relaxed geometry (PBE). Values from VASP.

Calculated values
Calculated volume (Å³/cell): 261.86
ΔE_f (eV per atom): -0.472
Crystal system: orthorhombic

Structure (Quantum ESPRESSO input):
```
&SYSTEM
  ibrav = 0, nat = 16, ntyp = 3
/
ATOMIC_SPECIES
Sc 44.96 Sc.upf
Ga 69.72 Ga.upf
Cu 63.55 Cu.upf
CELL_PARAMETERS angstrom
-0.350 -0.610 -4.106
-5.677 -2.882 0.913
-4.520 8.619 -0.896
ATOMIC_POSITIONS crystal
Sc 0.750 0.741 0.332
Sc 0.750 0.241 0.168
Sc 0.250 0.259 0.668
Sc 0.250 0.759 0.832
Ga 0.750 0.774 0.040
Ga 0.250 0.226 0.960
Ga 0.750 0.274 0.460
Ga 0.250 0.726 0.540
Ga 0.750 0.062 0.838
Ga 0.250 0.438 0.338
Ga 0.750 0.562 0.662
Ga 0.250 0.938 0.162
Cu 0.250 0.054 0.404
Cu 0.750 0.946 0.596
Cu 0.250 0.554 0.096
Cu 0.750 0.446 0.904
```

***

Entry from the Alexandria database: crystalline BaNa2Hg2Au2 at its relaxed geometry (PBE). Values from VASP.

Calculated values
Calculated volume (Å³/cell): 200.90
ΔE_f (eV per atom): -0.394
Crystal system: trigonal

Structure (Quantum ESPRESSO input):
```
&SYSTEM
  ibrav = 0, nat = 7, ntyp = 4
/
ATOMIC_SPECIES
Ba 137.33 Ba.upf
Na 22.99 Na.upf
Hg 200.59 Hg.upf
Au 196.97 Au.upf
CELL_PARAMETERS angstrom
-0.833 0.369 4.852
1.672 -3.492 3.064
8.428 3.766 3.672
ATOMIC_POSITIONS crystal
Ba 0.000 0.000 0.000
Na 0.133 0.133 0.602
Na 0.867 0.867 0.398
Hg 0.751 0.751 0.746
Hg 0.249 0.249 0.254
Au 0.593 0.593 0.222
Au 0.407 0.407 0.778
```

***

Entry from the Alexandria database: crystalline KFeGe2C at its relaxed geometry (PBE). Values from VASP.

Calculated values
Calculated volume (Å³/cell): 114.36
ΔE_f (eV per atom): 1.352
Crystal system: tetragonal

Structure (Quantum ESPRESSO input):
```
&SYSTEM
  ibrav = 0, nat = 5, ntyp = 4
/
ATOMIC_SPECIES
K 39.10 K.upf
C 12.01 C.upf
Ge 72.64 Ge.upf
Fe 55.84 Fe.upf
CELL_PARAMETERS angstrom
-2.377 2.518 -2.816
-0.897 -4.583 -3.341
-3.712 -0.943 2.290
ATOMIC_POSITIONS crystal
K 0.000 0.500 0.000
C 0.500 0.500 0.500
Ge 0.000 0.000 0.500
Ge 0.500 0.000 0.000
Fe 0.000 0.000 0.000
```

***

Entry from the Alexandria database: crystalline Zr6CoBi3 at its relaxed geometry (PBE). Values from VASP.

Calculated values
Calculated volume (Å³/cell): 454.26
ΔE_f (eV per atom): -0.176
Crystal system: monoclinic

Structure (Quantum ESPRESSO input):
```
&SYSTEM
  ibrav = 0, nat = 20, ntyp = 3
/
ATOMIC_SPECIES
Zr 91.22 Zr.upf
Co 58.93 Co.upf
Bi 208.98 Bi.upf
CELL_PARAMETERS angstrom
-4.322 -2.326 1.618
1.855 -6.923 -4.995
4.290 -1.170 9.775
ATOMIC_POSITIONS crystal
Zr 0.250 0.470 0.089
Zr 0.750 0.530 0.911
Zr 0.250 0.167 0.190
Zr 0.750 0.833 0.810
Zr 0.250 0.635 0.696
Zr 0.750 0.365 0.304
Zr 0.250 0.246 0.493
Zr 0.750 0.754 0.507
Zr 0.250 0.895 0.352
Zr 0.750 0.105 0.648
Zr 0.250 0.027 0.840
Zr 0.750 0.973 0.160
Co 0.250 0.871 0.595
Co 0.750 0.129 0.405
Bi 0.250 0.545 0.391
Bi 0.750 0.455 0.609
Bi 0.250 0.339 0.790
Bi 0.750 0.661 0.210
Bi 0.250 0.788 0.003
Bi 0.750 0.212 0.997
```

***

Entry from the Alexandria database: crystalline YPu2PaTe5 at its relaxed geometry (PBE). Values from VASP.

Calculated values
Calculated volume (Å³/cell): 365.48
Formation energy from raw total energies (meV per atom): -484
Crystal system: tetragonal

Structure (Quantum ESPRESSO input):
```
&SYSTEM
  ibrav = 0, nat = 9, ntyp = 4
/
ATOMIC_SPECIES
Y 88.91 Y.upf
Pu 244.00 Pu.upf
Pa 231.04 Pa.upf
Te 127.60 Te.upf
CELL_PARAMETERS angstrom
-0.227 4.442 -3.450
1.903 -3.188 -4.230
-10.846 -2.741 -2.814
ATOMIC_POSITIONS crystal
Y 0.000 0.000 0.000
Pu 0.500 0.500 0.332
Pu 0.500 0.500 0.668
Pa 0.000 0.000 0.500
Te 0.000 0.500 0.500
Te 0.500 0.000 0.500
Te 0.000 0.000 0.755
Te 0.000 0.000 0.245
Te 0.500 0.500 0.000
```

***

Entry from the Alexandria database: crystalline Na3Ag5Sb2 at its relaxed geometry (PBE). Values from VASP.

Calculated values
Calculated volume (Å³/cell): 507.42
Formation energy from raw total energies (meV per atom): -64
Crystal system: orthorhombic

Structure (Quantum ESPRESSO input):
```
&SYSTEM
  ibrav = 0, nat = 20, ntyp = 3
/
ATOMIC_SPECIES
Na 22.99 Na.upf
Ag 107.87 Ag.upf
Sb 121.76 Sb.upf
CELL_PARAMETERS angstrom
-1.154 5.834 0.685
-9.895 1.108 0.057
-3.823 1.245 9.109
ATOMIC_POSITIONS crystal
Na 0.250 0.000 0.000
Na 0.750 0.000 0.000
Na 0.339 0.439 0.884
Na 0.661 0.561 0.116
Na 0.839 0.884 0.439
Na 0.161 0.116 0.561
Ag 0.250 0.500 0.500
Ag 0.750 0.500 0.500
Ag 0.452 0.798 0.798
Ag 0.048 0.202 0.202
Ag 0.548 0.202 0.202
Ag 0.952 0.798 0.798
Ag 0.148 0.420 0.285
Ag 0.852 0.580 0.715
Ag 0.648 0.285 0.420
Ag 0.352 0.715 0.580
Sb 0.124 0.694 0.058
Sb 0.876 0.306 0.942
Sb 0.624 0.058 0.694
Sb 0.376 0.942 0.306
```

***

Entry from the Alexandria database: crystalline SiBiTe2 at its relaxed geometry (PBE). Values from VASP.

Calculated values
Calculated volume (Å³/cell): 244.73
Formation energy from raw total energies (meV per atom): 250
E above lowest polymorph (meV/atom): 130.7
Crystal system: tetragonal

Structure (Quantum ESPRESSO input):
```
&SYSTEM
  ibrav = 0, nat = 8, ntyp = 3
/
ATOMIC_SPECIES
Si 28.09 Si.upf
Te 127.60 Te.upf
Bi 208.98 Bi.upf
CELL_PARAMETERS angstrom
-0.621 -3.333 7.157
-4.821 -5.526 -2.992
0.360 -6.691 1.297
ATOMIC_POSITIONS crystal
Si 0.500 0.500 0.000
Si 0.250 0.750 0.500
Te 0.588 0.125 0.250
Te 0.162 0.625 0.250
Te 0.375 0.412 0.750
Te 0.875 0.838 0.750
Bi 0.000 0.000 0.000
Bi 0.750 0.250 0.500
```

***

Entry from the Alexandria database: crystalline BaAcSn6 at its relaxed geometry (PBE). Values from VASP.

Calculated values
Calculated volume (Å³/cell): 250.09
ΔE_f (eV per atom): -0.459
Crystal system: orthorhombic

Structure (Quantum ESPRESSO input):
```
&SYSTEM
  ibrav = 0, nat = 8, ntyp = 3
/
ATOMIC_SPECIES
Ba 137.33 Ba.upf
Ac 227.00 Ac.upf
Sn 118.71 Sn.upf
CELL_PARAMETERS angstrom
-1.224 1.120 -5.528
1.484 -6.707 -1.687
-6.589 1.811 1.826
ATOMIC_POSITIONS crystal
Ba 0.500 0.416 0.584
Ac 0.000 0.084 0.916
Sn 0.000 0.039 0.394
Sn 0.000 0.606 0.961
Sn 0.000 0.605 0.395
Sn 0.500 0.460 0.105
Sn 0.500 0.895 0.540
Sn 0.500 0.895 0.105
```

***

Entry from the Alexandria database: crystalline MgMn4Sb at its relaxed geometry (PBE). Values from VASP.

Calculated values
Calculated volume (Å³/cell): 83.33
Formation energy from raw total energies (meV per atom): 262
Crystal system: cubic

Structure (Quantum ESPRESSO input):
```
&SYSTEM
  ibrav = 0, nat = 6, ntyp = 3
/
ATOMIC_SPECIES
Mg 24.30 Mg.upf
Mn 54.94 Mn.upf
Sb 121.76 Sb.upf
CELL_PARAMETERS angstrom
0.000 3.467 3.467
3.467 0.000 3.467
3.467 3.467 0.000
ATOMIC_POSITIONS crystal
Mg 0.000 0.000 0.000
Mn 0.876 0.375 0.375
Mn 0.375 0.375 0.876
Mn 0.375 0.876 0.375
Mn 0.375 0.375 0.375
Sb 0.750 0.750 0.750
```

***

Entry from the Alexandria database: crystalline V5Te12Rh at its relaxed geometry (PBE). Values from VASP.

Calculated values
Calculated volume (Å³/cell): 486.10
Formation energy from raw total energies (meV per atom): -303
Crystal system: monoclinic

Structure (Quantum ESPRESSO input):
```
&SYSTEM
  ibrav = 0, nat = 18, ntyp = 3
/
ATOMIC_SPECIES
V 50.94 V.upf
Te 127.60 Te.upf
Rh 102.91 Rh.upf
CELL_PARAMETERS angstrom
6.258 0.000 0.444
3.129 5.436 0.222
1.044 0.000 14.362
ATOMIC_POSITIONS crystal
V 0.500 0.000 0.500
V 0.166 0.668 0.500
V 0.834 0.332 0.500
V 0.666 0.668 0.000
V 0.334 0.332 0.000
Te 0.873 0.000 0.379
Te 0.127 0.000 0.621
Te 0.710 0.000 0.879
Te 0.290 0.000 0.121
Te 0.369 0.670 0.880
Te 0.961 0.670 0.120
Te 0.039 0.330 0.880
Te 0.631 0.330 0.120
Te 0.460 0.334 0.621
Te 0.794 0.666 0.621
Te 0.206 0.334 0.379
Te 0.540 0.666 0.379
Rh 0.000 0.000 0.000
```

***

Entry from the Alexandria database: crystalline Ce2Zn9Ag at its relaxed geometry (PBE). Values from VASP.

Calculated values
Calculated volume (Å³/cell): 218.74
ΔE_f (eV per atom): -0.067
Crystal system: trigonal

Structure (Quantum ESPRESSO input):
```
&SYSTEM
  ibrav = 0, nat = 12, ntyp = 3
/
ATOMIC_SPECIES
Ce 140.12 Ce.upf
Zn 65.41 Zn.upf
Ag 107.87 Ag.upf
CELL_PARAMETERS angstrom
-4.155 -3.133 1.254
-1.562 -3.851 -3.373
3.566 -8.004 3.241
ATOMIC_POSITIONS crystal
Ce 0.852 0.852 0.445
Ce 0.148 0.148 0.555
Zn 0.665 0.665 0.005
Zn 0.335 0.335 0.995
Zn 0.500 0.500 0.500
Zn 0.418 0.418 0.243
Zn 0.921 0.418 0.243
Zn 0.418 0.921 0.243
Zn 0.582 0.582 0.757
Zn 0.582 0.079 0.757
Zn 0.079 0.582 0.757
Ag 0.000 0.000 0.000
```

***

Entry from the Alexandria database: crystalline Sm3CdNi8 at its relaxed geometry (PBE). Values from VASP.

Calculated values
Calculated volume (Å³/cell): 185.39
ΔE_f (eV per atom): -0.343
Crystal system: trigonal

Structure (Quantum ESPRESSO input):
```
&SYSTEM
  ibrav = 0, nat = 12, ntyp = 3
/
ATOMIC_SPECIES
Sm 150.36 Sm.upf
Cd 112.41 Cd.upf
Ni 58.69 Ni.upf
CELL_PARAMETERS angstrom
-3.505 0.002 3.660
-1.664 -4.386 1.917
4.295 -1.226 7.622
ATOMIC_POSITIONS crystal
Sm 0.377 0.377 0.869
Sm 0.994 0.994 0.017
Sm 0.505 0.505 0.486
Cd 0.873 0.873 0.382
Ni 0.940 0.436 0.188
Ni 0.440 0.937 0.686
Ni 0.436 0.436 0.188
Ni 0.937 0.937 0.686
Ni 0.188 0.188 0.436
Ni 0.688 0.688 0.937
Ni 0.436 0.940 0.188
Ni 0.937 0.440 0.686
```

***

Entry from the Alexandria database: crystalline SmSb at its relaxed geometry (PBE). Values from VASP.

Calculated values
Calculated volume (Å³/cell): 119.99
Formation energy from raw total energies (meV per atom): -1034
E above lowest polymorph (meV/atom): 142.6
Crystal system: monoclinic

Structure (Quantum ESPRESSO input):
```
&SYSTEM
  ibrav = 0, nat = 4, ntyp = 2
/
ATOMIC_SPECIES
Sb 121.76 Sb.upf
Sm 150.36 Sm.upf
CELL_PARAMETERS angstrom
4.218 0.000 -0.005
0.000 4.775 0.000
-2.089 0.000 5.961
ATOMIC_POSITIONS crystal
Sb 0.613 0.250 0.227
Sb 0.387 0.750 0.773
Sm 0.876 0.250 0.751
Sm 0.124 0.750 0.249
```